Entry 1:
12
Lattice="-1.4746 2.3616 -2.8434 -1.7717 -3.5937 -2.0661 -9.4924 1.2518 5.9626" Properties=species:S:1:pos:R:3 comment="NiAg (GGA-PBE, optimized geometry)" energy_ev_per_atom=-3.83 n_ef_per_ev_cell=16.70 formation_energy_ev_per_atom=0.488 pbc="T T T"
Ni -6.1858 -0.0857 3.1368
Ni -10.5618 -0.4495 2.3193
Ni -3.1140 -1.4317 -2.3590
Ni -4.1412 -0.3553 1.8525
Ni -1.2032 -2.4406 -1.4031
Ni -6.0520 0.6536 0.8967
Ag -8.4013 -1.7412 2.9108
Ag -8.3463 1.2060 2.5453
Ag -3.5264 0.5704 -0.4823
Ag -3.7288 -2.3574 -0.0242
Ag -6.0587 -2.0364 1.4507
Ag -1.1965 0.2494 -1.9572


Entry 2:
8
Lattice="-2.8693 3.4547 -1.3456 -3.5271 -2.0191 2.3370 1.1426 2.4426 3.8349" Properties=species:S:1:pos:R:3 comment="Ni3Ag (GGA-PBE, optimized geometry)" energy_ev_per_atom=-4.69 n_ef_per_ev_cell=17.09 formation_energy_ev_per_atom=0.359 pbc="T T T"
Ni -0.3105 0.7165 2.5017
Ni -2.0740 -0.2930 3.6702
Ni -2.4809 -0.1459 0.8321
Ni -1.1490 2.3380 0.2859
Ni -0.5777 3.5593 2.2034
Ni -3.9155 1.5815 0.1593
Ag 0.0000 0.0000 0.0000
Ag -2.6269 1.9391 2.4131


Entry 3:
4
Lattice="-3.9374 -2.1826 -0.2424 2.0865 -0.3022 -3.9851 1.1813 -2.2184 0.7868" Properties=species:S:1:pos:R:3 comment="Ni3Ag (GGA-PBE, optimized geometry)" energy_ev_per_atom=-4.79 n_ef_per_ev_cell=6.85 formation_energy_ev_per_atom=0.259 pbc="T T T"
Ag 0.0000 0.0000 0.0000
Ni 1.6339 -1.2603 -1.5992
Ni -1.3781 -2.2005 0.2722
Ni -0.9254 -1.2424 -2.1137


Entry 4:
4
Lattice="-7.6297 -0.2668 1.3105 -0.5561 -0.4378 -3.3271 9.5380 -1.5861 -1.3856" Properties=species:S:1:pos:R:3 comment="Ni3Ag (GGA-PBE, optimized geometry)" energy_ev_per_atom=-4.85 n_ef_per_ev_cell=5.70 formation_energy_ev_per_atom=0.201 pbc="T T T"
Ag 0.0000 0.0000 0.0000
Ni -2.3169 -0.4306 -1.2949
Ni -3.8148 -0.1334 0.6552
Ni 3.6692 -1.8602 -2.1074


Entry 5:
16
Lattice="9.4890 0.0000 0.0000 0.0000 4.4587 0.0000 0.0000 0.0000 5.4406" Properties=species:S:1:pos:R:3 comment="NiAg (GGA-PBE, optimized geometry)" energy_ev_per_atom=-4.02 n_ef_per_ev_cell=25.02 formation_energy_ev_per_atom=0.298 pbc="T T T"
Ni 3.8883 1.1147 4.0968
Ni 8.6328 1.1147 4.0640
Ni 5.6007 3.3440 1.3438
Ni 0.8562 3.3440 1.3765
Ni 1.5871 1.1147 2.7072
Ni 6.3316 1.1147 0.0130
Ni 7.9019 3.3440 2.7333
Ni 3.1574 3.3440 5.4275
Ag 4.0163 1.1147 1.2924
Ag 8.7608 1.1147 1.4279
Ag 5.4727 3.3440 4.1482
Ag 0.7282 3.3440 4.0127
Ag 1.5966 1.1147 5.4158
Ag 6.3411 1.1147 2.7450
Ag 7.8924 3.3440 0.0247
Ag 3.1479 3.3440 2.6956


Entry 6:
16
Lattice="-0.0386 -5.1360 -5.5574 -5.4527 -3.8346 3.5817 -2.9356 2.2506 -2.0596" Properties=species:S:1:pos:R:3 comment="NiAg (GGA-PBE, optimized geometry)" energy_ev_per_atom=-3.96 n_ef_per_ev_cell=25.29 formation_energy_ev_per_atom=0.361 pbc="T T T"
Ni -4.6309 -7.5651 -1.6661
Ni -0.8869 -4.9321 -4.1255
Ni -4.6044 -4.0385 2.1498
Ni -0.8604 -1.4055 -0.3096
Ni -3.3531 -1.9545 -1.7081
Ni -5.0617 -3.1561 -0.5857
Ni -3.3652 -3.5639 -3.4496
Ni -5.0738 -4.7655 -2.3272
Ag -2.7572 -6.0242 -2.6530
Ag -2.7341 -2.9464 0.6773
Ag -1.1119 -3.3364 -2.0610
Ag -4.3794 -5.6343 0.0853
Ag -1.4794 -0.4136 -2.6949
Ag -1.4948 -2.4718 -4.9221
Ag -5.2867 -1.5604 1.4788
Ag -3.1016 -0.0236 0.0434


Entry 7:
2
Lattice="-2.9406 -2.0871 0.2438 -2.7747 1.0227 2.0779 -3.1015 1.0626 -1.5213" Properties=species:S:1:pos:R:3 comment="NiAg (GGA-PBE, optimized geometry)" energy_ev_per_atom=-3.52 n_ef_per_ev_cell=3.67 formation_energy_ev_per_atom=0.799 pbc="T T T"
Ni -4.4084 -0.0009 0.4002
Ag 0.0000 0.0000 0.0000


Entry 8:
12
Lattice="-3.1448 -3.1355 2.8803 -0.5142 0.1460 -5.2661 5.8581 -6.5682 -0.7541" Properties=species:S:1:pos:R:3 comment="NiAg2 (GGA-PBE, optimized geometry)" energy_ev_per_atom=-3.22 polymorph_energy_mev_per_atom=430 n_ef_per_ev_cell=16.75 formation_energy_ev_per_atom=0.610 pbc="T T T"
Ni -1.2670 -1.0870 -2.5666
Ni 1.4139 -4.0928 -2.9117
Ni 0.7852 -5.4649 -0.2282
Ni 3.4661 -8.4707 -0.5733
Ag 0.0000 0.0000 0.0000
Ag 2.9291 -3.2841 -0.3771
Ag 3.6841 -5.4096 -1.8664
Ag 3.4322 -5.3380 -4.4468
Ag 0.3079 -2.6833 -0.1045
Ag 1.8912 -6.8744 -3.0355
Ag -1.2331 -4.2197 1.3069
Ag -1.4850 -4.1482 -1.2735


Entry 9:
4
Lattice="4.3161 0.0000 0.0000 -2.1581 3.7379 0.0000 0.0000 0.0000 5.0829" Properties=species:S:1:pos:R:3 comment="NiAg (GGA-PBE, optimized geometry)" energy_ev_per_atom=-3.26 n_ef_per_ev_cell=8.15 formation_energy_ev_per_atom=1.061 pbc="T T T"
Ni 0.0000 2.4919 1.2707
Ni 2.1581 1.2460 3.8122
Ag 0.0000 2.4919 3.8122
Ag 2.1581 1.2460 1.2707


Entry 10:
6
Lattice="-5.0682 0.8348 1.3405 -3.5393 1.3580 -3.7161 -3.7434 -3.4566 -1.4895" Properties=species:S:1:pos:R:3 comment="NiAg2 (GGA-PBE, optimized geometry)" energy_ev_per_atom=-3.19 polymorph_energy_mev_per_atom=454 n_ef_per_ev_cell=10.15 formation_energy_ev_per_atom=0.634 pbc="T T T"
Ni -9.2631 -0.9479 -2.8989
Ni -6.1754 -0.6319 -1.9326
Ag -3.3135 0.5210 -2.3412
Ag -3.4156 -1.8863 -1.2279
Ag -4.0779 0.2594 0.1871
Ag -1.5439 -0.1580 -0.4831


Entry 11:
4
Lattice="2.6392 0.0000 0.0000 -1.3196 2.2857 0.0000 0.0000 0.0000 8.4871" Properties=species:S:1:pos:R:3 comment="Ni3Ag (GGA-PBE, optimized geometry)" energy_ev_per_atom=-4.83 n_ef_per_ev_cell=7.29 formation_energy_ev_per_atom=0.222 pbc="T T T"
Ag 0.0000 0.0000 0.0000
Ni 0.0000 0.0000 4.2435
Ni 0.0000 1.5238 2.3129
Ni 0.0000 1.5238 6.1742


Entry 12:
12
Lattice="-5.8869 -0.1093 -1.3842 -0.0569 -6.0057 0.7160 -1.3874 0.7099 5.8442" Properties=species:S:1:pos:R:3 comment="NiAg2 (GGA-PBE, optimized geometry)" energy_ev_per_atom=-3.14 polymorph_energy_mev_per_atom=511 n_ef_per_ev_cell=13.68 formation_energy_ev_per_atom=0.690 pbc="T T T"
Ni 0.0000 0.0000 0.0000
Ni -0.7221 -2.6479 3.2801
Ni -3.6372 0.3003 2.2300
Ni -2.9719 -3.0575 -0.3341
Ag -2.0416 -3.2302 5.3078
Ag -1.3608 -4.9384 2.5470
Ag -3.3396 -0.2520 4.6379
Ag -2.6587 -1.9602 1.8771
Ag -4.6725 -3.4448 3.2989
Ag -3.9916 -5.1530 0.5381
Ag -5.9705 -0.4666 2.6290
Ag -5.2896 -2.1747 -0.1318